This record from Alexandria describes a relaxed KFe2CoF8 crystal. The functional is GGA+U.

Computed properties:
The calculated volume comes out at 166.16 Å³/cell. For the density of states at the Fermi level, the calculation gives 2.1 states/eV per cell. The crystal system is triclinic. As for the total moment: 10.0 μB per formula unit. For the total DFT energy (no corrections), the calculation gives -59.89 eV per cell.

Structure (CIF):
```
data_KFe2CoF8
_chemical_formula_sum 'K1 Fe2 Co1 F8'
_space_group_name_H-M_alt 'P -1'
_space_group_IT_number 2
_cell_length_a 5.034
_cell_length_b 5.061
_cell_length_c 6.538
_cell_angle_alpha 90.06
_cell_angle_beta 90.00
_cell_angle_gamma 94.01
loop_
_space_group_symop_operation_xyz
'x,y,z'
'-x,-y,-z'
loop_
_atom_site_label
_atom_site_type_symbol
_atom_site_fract_x
_atom_site_fract_y
_atom_site_fract_z
_atom_site_occupancy
K1 K 0.000 0.000 0.000 1
Fe1 Fe 0.500 0.500 0.264 1
Co1 Co 0.000 0.000 0.500 1
F1 F 0.215 0.216 0.702 1
F2 F 0.218 0.214 0.297 1
F3 F 0.305 0.693 0.500 1
F4 F 0.339 0.659 0.000 1
```